VASP calculation (GGA-PBE) on an optimized crystal structure of Ti2FeBAu.

It has space group P4/mmm (No. 123), with a = 4.484 Å, b = 4.484 Å, c = 3.811 Å, α = 90.00°, β = 90.00° and γ = 90.00°. Symmetry generates all atoms from Ti at (0.000, 0.500, 0.000), Fe at (0.000, 0.000, 0.000), B at (0.000, 0.000, 0.500) and Au at (0.500, 0.500, 0.500).

Its total magnetic moment is 0.000 Bohr magnetons per cell. As for the formation energy: 23 kJ/mol of atoms. For the density of states at the Fermi level, the calculation gives 4.97 states/eV/cell. The final energy comes out at -6.601 eV per atom.